<1>
Density functional theory data (GGA-PBE) for a relaxed structure of TcAg2H.

abc: 4.455 4.455 4.455
angles: 60.00 60.00 60.00
Positions (direct):
Tc (0.000, 0.000, 0.000)
Ag (0.250, 0.250, 0.250)
Ag (0.750, 0.750, 0.750)
H (0.500, 0.500, 0.500)


<2>
Density functional theory data (GGA-PBE) for a relaxed structure of TcAg2H.

abc: 5.439 5.439 5.439
angles: 101.67 101.67 126.55
Positions (direct):
Tc (0.000, 0.000, 0.000)
Tc (0.750, 0.250, 0.500)
Ag (0.219, 0.125, 0.594)
Ag (0.375, 0.781, 0.906)
Ag (0.531, 0.625, 0.406)
Ag (0.875, 0.469, 0.094)
H (0.250, 0.750, 0.500)
H (0.500, 0.500, 0.000)


<2> (34.8 kJ/mol of atoms below the next structure)


<1>
Density functional theory data (GGA-PBE) for a relaxed structure of Tc2AgH.

abc: 5.930 5.930 5.930
angles: 131.31 131.31 71.33
Positions (direct):
Tc (0.375, 0.146, 0.271)
Tc (0.854, 0.125, 0.229)
Tc (0.875, 0.104, 0.729)
Tc (0.896, 0.625, 0.771)
Ag (0.250, 0.750, 0.500)
Ag (0.500, 0.500, 0.000)
H (0.000, 0.000, 0.000)
H (0.750, 0.250, 0.500)


<2>
Density functional theory data (GGA-PBE) for a relaxed structure of Tc2AgH.

abc: 4.251 4.251 4.251
angles: 60.00 60.00 60.00
Positions (direct):
Tc (0.250, 0.250, 0.250)
Tc (0.750, 0.750, 0.750)
Ag (0.000, 0.000, 0.000)
H (0.500, 0.500, 0.500)


<1> (45.9 kJ/mol of atoms below the next structure)


<1>
Density functional theory data (GGA-PBE) for a relaxed structure of AgTe2H2.

abc: 4.446 4.446 7.174
angles: 110.20 110.20 57.38
Positions (direct):
Ag (0.000, 0.000, 0.000)
Te (0.329, 0.329, 0.724)
Te (0.671, 0.671, 0.276)
H (0.477, 0.477, 0.325)
H (0.523, 0.523, 0.675)


<2>
Density functional theory data (GGA-PBE) for a relaxed structure of AgTe2H2.

abc: 7.386 7.386 7.386
angles: 152.72 152.72 38.97
Positions (direct):
Ag (0.000, 0.000, 0.000)
Te (0.358, 0.358, 0.000)
Te (0.642, 0.642, 0.000)
H (0.250, 0.750, 0.500)
H (0.750, 0.250, 0.500)


<1> (38.0 kJ/mol of atoms below the next structure)


<1>
Density functional theory data (GGA-PBE) for a relaxed structure of Ag2TeH.

abc: 4.715 6.112 11.939
angles: 90.00 111.83 90.00
Positions (direct):
Ag (0.195, 0.220, 0.157)
Ag (0.195, 0.780, 0.657)
Ag (0.279, 0.472, 0.866)
Ag (0.279, 0.528, 0.366)
Ag (0.721, 0.472, 0.634)
Ag (0.721, 0.528, 0.134)
Ag (0.805, 0.220, 0.343)
Ag (0.805, 0.780, 0.843)
Te (0.176, 0.233, 0.591)
Te (0.176, 0.767, 0.091)
Te (0.824, 0.233, 0.909)
Te (0.824, 0.767, 0.409)
H (0.363, 0.249, 0.324)
H (0.363, 0.751, 0.824)
H (0.637, 0.249, 0.176)
H (0.637, 0.751, 0.676)


<2>
Density functional theory data (GGA-PBE) for a relaxed structure of Ag2TeH.

abc: 6.095 6.095 6.095
angles: 44.31 44.31 44.31
Positions (direct):
Ag (0.106, 0.106, 0.106)
Ag (0.894, 0.894, 0.894)
Te (0.500, 0.500, 0.500)
H (0.000, 0.000, 0.000)


<1> (9.8 kJ/mol of atoms below the next structure)


<1>
Density functional theory data (GGA-PBE) for a relaxed structure of Ti2AgH.

abc: 5.270 5.270 5.270
angles: 111.29 111.29 105.88
Positions (direct):
Ti (0.017, 0.125, 0.392)
Ti (0.375, 0.983, 0.108)
Ti (0.733, 0.625, 0.608)
Ti (0.875, 0.267, 0.892)
Ag (0.250, 0.750, 0.500)
Ag (0.500, 0.500, 0.000)
H (0.000, 0.000, 0.000)
H (0.750, 0.250, 0.500)


<2>
Density functional theory data (GGA-PBE) for a relaxed structure of Ti2AgH.

abc: 7.233 7.233 7.233
angles: 23.66 23.66 23.66
Positions (direct):
Ti (0.000, 0.000, 0.000)
Ti (0.223, 0.223, 0.223)
Ag (0.446, 0.446, 0.446)
H (0.611, 0.611, 0.611)


<2> (13.3 kJ/mol of atoms below the next structure)


<1>
Density functional theory data (GGA-PBE) for a relaxed structure of TiAg2H.

abc: 4.437 4.437 4.437
angles: 60.00 60.00 60.00
Positions (direct):
Ti (0.000, 0.000, 0.000)
Ag (0.250, 0.250, 0.250)
Ag (0.750, 0.750, 0.750)
H (0.500, 0.500, 0.500)


<2>
Density functional theory data (GGA-PBE) for a relaxed structure of TiAg2H.

abc: 5.471 5.471 5.471
angles: 100.92 100.92 128.41
Positions (direct):
Ti (0.000, 0.000, 0.000)
Ti (0.750, 0.250, 0.500)
Ag (0.221, 0.125, 0.596)
Ag (0.375, 0.779, 0.904)
Ag (0.529, 0.625, 0.404)
Ag (0.875, 0.471, 0.096)
H (0.250, 0.750, 0.500)
H (0.500, 0.500, 0.000)


<2> (34.5 kJ/mol of atoms below the next structure)